VASP calculation (GGA-PBE) on a relaxed structure of KSnI2F.

Properties
total magnetization: 0.000 μB per atom
DOS(E_F): 0.000 states/eV per cell
V: 186 Å³/f.u.
uncorrected formation energy: -1.375 eV/atom

Cell: 6.3668 6.3668 4.5920 Å, 90.00 90.00 90.00°
Positions (direct):
K 0.0000 0.0000 0.0000
Sn 0.5000 0.5000 0.5000
I 0.0000 0.5000 0.5000
I 0.5000 0.0000 0.5000
F 0.5000 0.5000 0.0000